Entry 1:
Computed, not measured: Sb2Te2Se after structural relaxation at the PBEsol level of DFT.

Geometry as POSCAR:
```
Sb2Te2Se
1.0
5.863 0.000 0.000
-2.931 5.232 0.007
0.000 3.278 4.860
Sb Se Te
2 1 2
direct
0.325 0.650 0.675 Sb
0.675 0.350 0.325 Sb
0.000 0.000 0.000 Se
0.750 0.500 0.750 Te
0.250 0.500 0.250 Te
```

Computed properties:
Energy above the most stable polymorph in this dataset, meV per atom: 298
Raw formation energy, eV/atom: 0.11
Magnetic moment, μB per cell: 0.00

***

Entry 2:
Computed, not measured: Y2Mg after structural relaxation at the PBEsol level of DFT.

Geometry as POSCAR:
```
Y2Mg
1.0
9.923 0.000 0.000
4.962 8.594 0.000
4.962 2.865 8.102
Mg Y
8 16
direct
0.836 0.492 0.836 Mg
0.836 0.836 0.492 Mg
0.836 0.836 0.836 Mg
0.492 0.836 0.836 Mg
0.414 0.758 0.414 Mg
0.414 0.414 0.758 Mg
0.414 0.414 0.414 Mg
0.758 0.414 0.414 Mg
0.125 0.625 0.625 Y
0.625 0.625 0.625 Y
0.625 0.625 0.125 Y
0.625 0.125 0.625 Y
0.065 0.435 0.435 Y
0.065 0.435 0.065 Y
0.435 0.435 0.065 Y
0.065 0.065 0.435 Y
0.435 0.065 0.435 Y
0.435 0.065 0.065 Y
0.185 0.815 0.815 Y
0.185 0.815 0.185 Y
0.815 0.815 0.185 Y
0.185 0.185 0.815 Y
0.815 0.185 0.815 Y
0.815 0.185 0.185 Y
```

Computed properties:
Magnetic moment, μB per cell: 0.00
Formation enthalpy at 0 K, kJ/mol of formula units: 5.7

***

Entry 3:
Computed, not measured: ZrIr2Rh after structural relaxation at the PBEsol level of DFT.

Geometry as POSCAR:
```
ZrIr2Rh
1.0
3.927 0.000 0.000
0.000 3.927 0.000
-1.963 -1.963 3.948
Ir Rh Zr
2 1 1
direct
0.750 0.250 0.500 Ir
0.250 0.750 0.500 Ir
0.000 0.000 0.000 Rh
0.500 0.500 0.000 Zr
```

Computed properties:
Magnetic moment, μB per cell: 0.00
Formation enthalpy at 0 K, kJ/mol of formula units: -215.1

***

Entry 4:
Computed, not measured: La3RuBr3 after structural relaxation at the PBEsol level of DFT.

Geometry as POSCAR:
```
La3RuBr3
1.0
10.367 0.000 0.000
-3.456 9.774 0.000
-3.456 -4.887 8.465
La Ru Br
12 4 12
direct
0.735 0.971 0.485 La
0.515 0.529 0.265 La
0.765 0.250 0.235 La
0.985 0.250 0.015 La
0.765 0.515 0.029 La
0.985 0.735 0.471 La
0.515 0.985 0.750 La
0.735 0.765 0.750 La
0.250 0.515 0.485 La
0.250 0.735 0.265 La
0.529 0.765 0.015 La
0.971 0.985 0.235 La
0.500 0.750 0.500 Ru
0.750 0.750 0.250 Ru
0.000 0.500 0.250 Ru
0.750 0.000 0.000 Ru
0.750 0.258 0.742 Br
0.484 0.242 0.992 Br
0.750 0.492 0.508 Br
0.016 0.008 0.758 Br
0.008 0.258 0.516 Br
0.258 0.242 0.250 Br
0.242 0.492 0.984 Br
0.492 0.008 0.250 Br
0.492 0.484 0.742 Br
0.242 0.750 0.758 Br
0.258 0.016 0.508 Br
0.008 0.750 0.992 Br
```

Computed properties:
Raw formation energy, eV/atom: -1.30
Magnetic moment, μB per cell: 0.00

***

Entry 5:
Computed, not measured: Ba2PbCl after structural relaxation at the PBEsol level of DFT.

Geometry as POSCAR:
```
Ba2PbCl
1.0
-4.071 0.342 0.235
-0.346 -5.693 2.296
0.519 2.264 5.693
Pb Ba Cl
1 2 1
direct
0.249 0.500 0.000 Pb
0.747 0.000 0.000 Ba
0.750 0.500 0.500 Ba
0.754 0.000 0.500 Cl
```

Computed properties:
Energy above the most stable polymorph in this dataset, meV per atom: 0
Raw formation energy, eV/atom: -1.23
Magnetic moment, μB per cell: 0.00

***

Entry 6:
Computed, not measured: SnSb2RhI after structural relaxation at the PBEsol level of DFT.

Geometry as POSCAR:
```
SnSb2RhI
1.0
5.498 0.000 0.000
0.000 5.498 0.000
0.000 0.000 5.634
I Sb Rh Sn
1 2 1 1
direct
0.000 0.000 0.500 I
0.000 0.500 0.000 Sb
0.500 0.000 0.000 Sb
0.500 0.500 0.500 Rh
0.000 0.000 0.000 Sn
```

Computed properties:
Raw formation energy, eV/atom: 1.39
Magnetic moment, μB per cell: 0.88

***

Entry 7:
Computed, not measured: Dy9Al5Se21 after structural relaxation at the PBEsol level of DFT.

Geometry as POSCAR:
```
Dy9Al5Se21
1.0
-1.671 5.313 -10.363
9.872 -5.389 -3.451
-6.883 -9.156 -2.682
Dy Al Se
18 10 42
direct
0.886 0.738 0.112 Dy
0.229 0.069 0.452 Dy
0.557 0.394 0.764 Dy
0.764 0.557 0.394 Dy
0.112 0.886 0.738 Dy
0.452 0.229 0.069 Dy
0.069 0.452 0.229 Dy
0.394 0.764 0.557 Dy
0.738 0.112 0.886 Dy
0.430 0.587 0.212 Dy
0.770 0.932 0.549 Dy
0.095 0.248 0.877 Dy
0.549 0.770 0.932 Dy
0.877 0.095 0.248 Dy
0.212 0.430 0.587 Dy
0.248 0.877 0.095 Dy
0.587 0.212 0.430 Dy
0.932 0.549 0.770 Dy
0.386 0.047 0.719 Al
0.719 0.386 0.047 Al
0.047 0.719 0.386 Al
0.223 0.548 0.882 Al
0.548 0.882 0.223 Al
0.882 0.223 0.548 Al
0.859 0.859 0.859 Al
0.175 0.175 0.175 Al
0.676 0.676 0.676 Al
0.358 0.358 0.358 Al
0.511 0.173 0.842 Se
0.842 0.511 0.173 Se
0.173 0.842 0.511 Se
0.010 0.341 0.674 Se
0.341 0.674 0.010 Se
0.674 0.010 0.341 Se
0.452 0.004 0.535 Se
0.788 0.350 0.865 Se
0.111 0.688 0.199 Se
0.199 0.111 0.688 Se
0.535 0.452 0.004 Se
0.865 0.788 0.350 Se
0.350 0.865 0.788 Se
0.688 0.199 0.111 Se
0.004 0.535 0.452 Se
0.056 0.478 0.965 Se
0.377 0.814 0.299 Se
0.711 0.160 0.632 Se
0.299 0.377 0.814 Se
0.632 0.711 0.160 Se
0.965 0.056 0.478 Se
0.160 0.632 0.711 Se
0.478 0.965 0.056 Se
0.814 0.299 0.377 Se
0.414 0.306 0.559 Se
0.763 0.660 0.896 Se
0.101 0.992 0.239 Se
0.239 0.101 0.992 Se
0.559 0.414 0.306 Se
0.896 0.763 0.660 Se
0.660 0.896 0.763 Se
0.992 0.239 0.101 Se
0.306 0.559 0.414 Se
0.282 0.384 0.148 Se
0.618 0.731 0.484 Se
0.942 0.047 0.794 Se
0.484 0.618 0.731 Se
0.794 0.942 0.047 Se
0.148 0.282 0.384 Se
0.047 0.794 0.942 Se
0.384 0.148 0.282 Se
0.731 0.484 0.618 Se
```

Computed properties:
Raw formation energy, eV/atom: -1.51
Magnetic moment, μB per cell: 0.00

***

Entry 8:
Computed, not measured: TcMo2Os after structural relaxation at the PBEsol level of DFT.

Geometry as POSCAR:
```
TcMo2Os
1.0
3.065 0.000 0.000
0.000 4.350 0.000
0.000 0.000 4.409
Mo Os Tc
2 1 1
direct
0.000 0.000 0.000 Mo
0.500 0.000 0.500 Mo
0.500 0.500 0.000 Os
0.000 0.500 0.500 Tc
```

Computed properties:
Energy above the most stable polymorph in this dataset, meV per atom: 55
Magnetic moment, μB per cell: 0.00
Formation enthalpy at 0 K, kJ/mol of formula units: 84.1